# 1
# Pr8Ir3RuI4 | Alexandria via LeMat-Bulk | PBE | optimized geometry
data_Pr8Ir3RuI4
_chemical_formula_sum 'Pr24 Ir9 Ru3 I12'
_symmetry_space_group_name_H-M 'R -3 m'
_symmetry_Int_Tables_number 166
_symmetry_space_group_name_Hall '-R 3 2"'
_cell_length_a 8.4493
_cell_length_b 8.4493
_cell_length_c 24.5963
_cell_angle_alpha 90.00
_cell_angle_beta 90.00
_cell_angle_gamma 120.00
loop_
_atom_site_label
_atom_site_fract_x
_atom_site_fract_y
_atom_site_fract_z
_atom_site_occupancy
Pr1 0.0000 0.0000 0.2278 1
Pr2 0.0039 0.5020 0.2285 1
Ir1 0.0000 0.5000 0.5000 1
Ru1 0.0000 0.0000 0.5000 1
I1 0.0000 0.0000 0.0000 1
I2 0.0000 0.5000 0.0000 1
# total magnetic moment = 0.000 μB/cell
# E_tot = -5.89 eV per atom
# calculated volume = 1521 Å³/cell
# ΔE_f (raw) = -0.873 eV/atom

# 2
# Pr6IrRu2I3 | Alexandria via LeMat-Bulk | PBE | optimized geometry
data_Pr6IrRu2I3
_chemical_formula_sum 'Pr12 Ir2 Ru4 I6'
_symmetry_space_group_name_H-M 'C 1 2/m 1'
_symmetry_Int_Tables_number 12
_symmetry_space_group_name_Hall '-C 2y'
_cell_length_a 7.2753
_cell_length_b 12.6000
_cell_length_c 8.5694
_cell_angle_alpha 90.00
_cell_angle_beta 106.45
_cell_angle_gamma 90.00
loop_
_atom_site_label
_atom_site_fract_x
_atom_site_fract_y
_atom_site_fract_z
_atom_site_occupancy
Pr1 0.2247 0.0000 0.1857 1
Pr2 0.2306 0.3314 0.1859 1
Ir1 0.0000 0.5000 0.0000 1
Ru1 0.0000 0.1666 0.0000 1
I1 0.0000 0.0000 0.5000 1
I2 0.0000 0.3327 0.5000 1
# total magnetic moment = 0.000 μB/cell
# E_tot = -5.79 eV per atom
# calculated volume = 753 Å³/cell
# ΔE_f (raw) = -0.727 eV/atom

# 3
# Pr8Ir3SI4 | Alexandria via LeMat-Bulk | PBE | optimized geometry
data_Pr8Ir3SI4
_chemical_formula_sum 'Pr24 Ir9 S3 I12'
_symmetry_space_group_name_H-M 'R -3 m'
_symmetry_Int_Tables_number 166
_symmetry_space_group_name_Hall '-R 3 2"'
_cell_length_a 8.5586
_cell_length_b 8.5586
_cell_length_c 24.2391
_cell_angle_alpha 90.00
_cell_angle_beta 90.00
_cell_angle_gamma 120.00
loop_
_atom_site_label
_atom_site_fract_x
_atom_site_fract_y
_atom_site_fract_z
_atom_site_occupancy
Pr1 0.0000 0.0000 0.2282 1
Pr2 0.0127 0.5064 0.7712 1
Ir1 0.0000 0.5000 0.5000 1
S1 0.0000 0.0000 0.5000 1
I1 0.0000 0.0000 0.0000 1
I2 0.0000 0.5000 0.0000 1
# total magnetic moment = 0.000 μB/cell
# E_tot = -5.76 eV per atom
# calculated volume = 1538 Å³/cell
# ΔE_f (raw) = -1.066 eV/atom

# 4
# Pr6Ir2SI2 | Alexandria via LeMat-Bulk | PBE | optimized geometry
data_Pr6Ir2SI2
_chemical_formula_sum 'Pr12 Ir4 S2 I4'
_symmetry_space_group_name_H-M 'C 1 2/m 1'
_symmetry_Int_Tables_number 12
_symmetry_space_group_name_Hall '-C 2y'
_cell_length_a 7.4907
_cell_length_b 12.6521
_cell_length_c 8.1271
_cell_angle_alpha 90.00
_cell_angle_beta 106.60
_cell_angle_gamma 90.00
loop_
_atom_site_label
_atom_site_fract_x
_atom_site_fract_y
_atom_site_fract_z
_atom_site_occupancy
Pr1 0.2062 0.0000 0.1961 1
Pr2 0.2360 0.3307 0.1938 1
Ir1 0.0000 0.1699 0.0000 1
S1 0.0000 0.5000 0.0000 1
I1 0.0000 0.3353 0.5000 1
# total magnetic moment = 0.000 μB/cell
# E_tot = -5.84 eV per atom
# calculated volume = 738 Å³/cell
# ΔE_f (raw) = -0.967 eV/atom

# 5
# Pr4SbIrI2 | Alexandria via LeMat-Bulk | PBE | optimized geometry
data_Pr4SbIrI2
_chemical_formula_sum 'Pr4 Sb1 Ir1 I2'
_symmetry_space_group_name_H-M 'P 1 2/m 1'
_symmetry_Int_Tables_number 10
_symmetry_space_group_name_Hall '-P 2y'
_cell_length_a 8.0399
_cell_length_b 4.3080
_cell_length_c 8.2919
_cell_angle_alpha 90.00
_cell_angle_beta 106.81
_cell_angle_gamma 90.00
loop_
_atom_site_label
_atom_site_fract_x
_atom_site_fract_y
_atom_site_fract_z
_atom_site_occupancy
Pr1 0.2001 0.0000 0.1870 1
Pr2 0.2390 0.5000 0.7985 1
Sb1 0.5000 0.0000 0.0000 1
Ir1 0.0000 0.5000 0.0000 1
I1 0.0000 0.0000 0.5000 1
I2 0.5000 0.5000 0.5000 1
# total magnetic moment = 0.000 μB/cell
# E_tot = -5.40 eV per atom
# calculated volume = 275 Å³/cell
# ΔE_f (raw) = -0.997 eV/atom

# 6
# Pr6Ir2SeI3 | Alexandria via LeMat-Bulk | PBE | optimized geometry
data_Pr6Ir2SeI3
_chemical_formula_sum 'Pr12 Ir4 Se2 I6'
_symmetry_space_group_name_H-M 'C 1 2/m 1'
_symmetry_Int_Tables_number 12
_symmetry_space_group_name_Hall '-C 2y'
_cell_length_a 7.5049
_cell_length_b 12.9906
_cell_length_c 8.4090
_cell_angle_alpha 90.00
_cell_angle_beta 107.25
_cell_angle_gamma 90.00
loop_
_atom_site_label
_atom_site_fract_x
_atom_site_fract_y
_atom_site_fract_z
_atom_site_occupancy
Pr1 0.2069 0.0000 0.1885 1
Pr2 0.2416 0.3222 0.1894 1
Ir1 0.0000 0.1671 0.0000 1
Se1 0.0000 0.5000 0.0000 1
I1 0.0000 0.0000 0.5000 1
I2 0.0000 0.3372 0.5000 1
# total magnetic moment = 0.000 μB/cell
# E_tot = -5.65 eV per atom
# calculated volume = 783 Å³/cell
# ΔE_f (raw) = -1.109 eV/atom

# 7
# Pr8Ir3SeI4 | Alexandria via LeMat-Bulk | PBE | optimized geometry
data_Pr8Ir3SeI4
_chemical_formula_sum 'Pr24 Ir9 Se3 I12'
_symmetry_space_group_name_H-M 'R -3 m'
_symmetry_Int_Tables_number 166
_symmetry_space_group_name_Hall '-R 3 2"'
_cell_length_a 8.6268
_cell_length_b 8.6268
_cell_length_c 24.2098
_cell_angle_alpha 90.00
_cell_angle_beta 90.00
_cell_angle_gamma 120.00
loop_
_atom_site_label
_atom_site_fract_x
_atom_site_fract_y
_atom_site_fract_z
_atom_site_occupancy
Pr1 0.0000 0.0000 0.2282 1
Pr2 0.0194 0.5097 0.7706 1
Ir1 0.0000 0.5000 0.5000 1
Se1 0.0000 0.0000 0.5000 1
I1 0.0000 0.0000 0.0000 1
I2 0.0000 0.5000 0.0000 1
# total magnetic moment = 0.000 μB/cell
# E_tot = -5.70 eV per atom
# calculated volume = 1560 Å³/cell
# ΔE_f (raw) = -1.048 eV/atom

# 8
# Pr6Ir2Se3I | Alexandria via LeMat-Bulk | PBE | optimized geometry
data_Pr6Ir2Se3I
_chemical_formula_sum 'Pr12 Ir4 Se6 I2'
_symmetry_space_group_name_H-M 'C 1 2/m 1'
_symmetry_Int_Tables_number 12
_symmetry_space_group_name_Hall '-C 2y'
_cell_length_a 18.9120
_cell_length_b 4.1996
_cell_length_c 8.9752
_cell_angle_alpha 90.00
_cell_angle_beta 104.54
_cell_angle_gamma 90.00
loop_
_atom_site_label
_atom_site_fract_x
_atom_site_fract_y
_atom_site_fract_z
_atom_site_occupancy
Pr1 0.0140 0.0000 0.2842 1
Pr2 0.1730 0.5000 0.5751 1
Pr3 0.1805 0.5000 0.1221 1
Ir1 0.1693 0.0000 0.3382 1
Se1 0.0000 0.5000 0.5000 1
Se2 0.1560 0.0000 0.8426 1
I1 0.0000 0.5000 0.0000 1
# total magnetic moment = 0.000 μB/cell
# E_tot = -6.14 eV per atom
# calculated volume = 690 Å³/cell
# ΔE_f (raw) = -1.272 eV/atom

# 9
# Pr6Ir2SeI2 | Alexandria via LeMat-Bulk | PBE | optimized geometry
data_Pr6Ir2SeI2
_chemical_formula_sum 'Pr12 Ir4 Se2 I4'
_symmetry_space_group_name_H-M 'C 1 2/m 1'
_symmetry_Int_Tables_number 12
_symmetry_space_group_name_Hall '-C 2y'
_cell_length_a 7.5767
_cell_length_b 12.8145
_cell_length_c 8.0844
_cell_angle_alpha 90.00
_cell_angle_beta 106.55
_cell_angle_gamma 90.00
loop_
_atom_site_label
_atom_site_fract_x
_atom_site_fract_y
_atom_site_fract_z
_atom_site_occupancy
Pr1 0.1984 0.0000 0.1986 1
Pr2 0.2401 0.3261 0.1963 1
Ir1 0.0000 0.1695 0.0000 1
Se1 0.0000 0.5000 0.0000 1
I1 0.0000 0.3386 0.5000 1
# total magnetic moment = 0.000 μB/cell
# E_tot = -5.76 eV per atom
# calculated volume = 752 Å³/cell
# ΔE_f (raw) = -0.942 eV/atom

# 10
# Pr4SiIrI2 | Alexandria via LeMat-Bulk | PBE | optimized geometry
data_Pr4SiIrI2
_chemical_formula_sum 'Pr4 Si1 Ir1 I2'
_symmetry_space_group_name_H-M 'P 1 2/m 1'
_symmetry_Int_Tables_number 10
_symmetry_space_group_name_Hall '-P 2y'
_cell_length_a 7.7009
_cell_length_b 4.2499
_cell_length_c 8.2787
_cell_angle_alpha 90.00
_cell_angle_beta 106.54
_cell_angle_gamma 90.00
loop_
_atom_site_label
_atom_site_fract_x
_atom_site_fract_y
_atom_site_fract_z
_atom_site_occupancy
Pr1 0.2204 0.0000 0.1871 1
Pr2 0.2570 0.5000 0.8104 1
Si1 0.5000 0.0000 0.0000 1
Ir1 0.0000 0.5000 0.0000 1
I1 0.0000 0.0000 0.5000 1
I2 0.5000 0.5000 0.5000 1
# total magnetic moment = 0.000 μB/cell
# E_tot = -5.47 eV per atom
# calculated volume = 260 Å³/cell
# ΔE_f (raw) = -0.903 eV/atom

# 11
# Pr8Si3IrI4 | Alexandria via LeMat-Bulk | PBE | optimized geometry
data_Pr8Si3IrI4
_chemical_formula_sum 'Pr16 Si6 Ir2 I8'
_symmetry_space_group_name_H-M 'C 1 2/m 1'
_symmetry_Int_Tables_number 12
_symmetry_space_group_name_Hall '-C 2y'
_cell_length_a 15.1105
_cell_length_b 8.7203
_cell_length_c 9.2949
_cell_angle_alpha 90.00
_cell_angle_beta 122.85
_cell_angle_gamma 90.00
loop_
_atom_site_label
_atom_site_fract_x
_atom_site_fract_y
_atom_site_fract_z
_atom_site_occupancy
Pr1 0.0167 0.2431 0.3072 1
Pr2 0.2272 0.0000 0.6936 1
Pr3 0.2334 0.5000 0.6999 1
Si1 0.0000 0.5000 0.5000 1
Si2 0.2500 0.2500 0.5000 1
Ir1 0.0000 0.0000 0.5000 1
I1 0.0000 0.0000 0.0000 1
I2 0.0000 0.5000 0.0000 1
I3 0.2500 0.2500 0.0000 1
# total magnetic moment = 0.000 μB/cell
# E_tot = -5.27 eV per atom
# calculated volume = 1029 Å³/cell
# ΔE_f (raw) = -0.920 eV/atom